As2HIBr after structural relaxation. Source: Alexandria, functional PBE.

Cell lengths 5.6914, 5.6914, 6.0104 Å; angles 90.00, 90.00, 90.00 degrees
Last column: nearest neighbours and their distance in Å.
Space group P4/mmm (No. 123)
Symmetry-distinct sites (fractional):
As 0.0000 0.5000 0.0000 x2  2 I 2.85
H 0.0000 0.0000 0.5000 x1  4 Br 4.02, 8 As 4.14
I 0.5000 0.5000 0.0000 x1  4 As 2.85, 2 Br 3.01
Br 0.5000 0.5000 0.5000 x1  2 I 3.01

Results
Crystal system: tetragonal
Polymorph energy (0 for the lowest one) in meV per atom: 507

***

NiOs2 after structural relaxation. Source: Alexandria, functional PBE.

Cell lengths 2.6982, 2.6982, 6.4287 Å; angles 90.00, 90.00, 120.00 degrees
Last column: nearest neighbours and their distance in Å.
Space group P-3m1 (No. 164)
Symmetry-distinct sites (fractional):
Ni 0.0000 0.0000 0.0000 x1  6 Os 2.65, 6 Ni 2.70
Os 0.3333 0.6667 0.6672 x2  3 Ni 2.65, 9 Os 2.66-2.70

Results
Energy of formation in eV per atom: 0.175
Crystal system: trigonal
Polymorph energy (0 for the lowest one) in meV per atom: 136

***

YScAl2 after structural relaxation. Source: Alexandria, functional PBE.

Cell lengths 3.2271, 3.2271, 30.1544 Å; angles 90.00, 90.00, 120.00 degrees
Last column: nearest neighbours and their distance in Å.
Space group R3m (No. 160, hexagonal axes)
Symmetry-distinct sites (fractional):
Y 0.0000 0.0000 0.0000 x3  6 Y 3.23, 3 Al 3.24, 3 Sc 3.34
Sc 0.0000 0.0000 0.7584 x3  3 Al 3.06, 6 Sc 3.23, 3 Y 3.34
Al 0.0000 0.0000 0.2455 x3  9 Al 2.88-3.23
Al 0.0000 0.0000 0.5058 x3  9 Al 2.88-3.23, 3 Sc 3.06

Results
Energy of formation in eV per atom: 0.020
Crystal system: trigonal
Polymorph energy (0 for the lowest one) in meV per atom: 449

***

Os2Ru3Rh4 after structural relaxation. Source: Alexandria, functional PBE.

Cell lengths 2.7248, 2.7248, 19.9936 Å; angles 90.00, 90.00, 120.00 degrees
Last column: nearest neighbours and their distance in Å.
Space group P3m1 (No. 156)
Symmetry-distinct sites (fractional):
Os 0.0000 0.0000 0.0000 x1  3 Ru 2.65, 6 Os 2.72, 3 Rh 2.74
Os 0.0000 0.0000 0.2137 x1  1 Rh 2.56, 3 Ru 2.66, 6 Os 2.72
Ru 0.0000 0.0000 0.7780 x1  6 Rh 2.67-2.70, 6 Ru 2.72
Ru 0.3333 0.6667 0.1066 x1  6 Os 2.65-2.66, 6 Ru 2.72
Ru 0.3333 0.6667 0.4498 x1  6 Rh 2.66-2.68, 6 Ru 2.72
Rh 0.0000 0.0000 0.3415 x1  1 Os 2.56, 3 Ru 2.68, 6 Rh 2.72
Rh 0.0000 0.0000 0.5571 x1  3 Ru 2.66, 9 Rh 2.72-2.76
Rh 0.3333 0.6667 0.6702 x1  3 Ru 2.67, 9 Rh 2.72-2.76
Rh 0.3333 0.6667 0.8879 x1  3 Ru 2.70, 6 Rh 2.72, 3 Os 2.74

Results
Energy of formation in eV per atom: 0.088
Crystal system: trigonal

***

Mg8Sc2Cd after structural relaxation. Source: Alexandria, functional PBE.

Cell lengths 4.5624, 4.5624, 12.4444 Å; angles 90.00, 90.00, 90.00 degrees
Last column: nearest neighbours and their distance in Å.
Space group P4/mmm (No. 123)
Symmetry-distinct sites (fractional):
Mg 0.0000 0.0000 0.1831 x2  8 Mg 3.18-3.22, 4 Sc 3.23
Mg 0.0000 0.5000 0.0000 x2  8 Mg 3.22-3.23, 4 Sc 3.23
Mg 0.0000 0.5000 0.3611 x4  2 Cd 2.86, 2 Sc 3.17, 2 Mg 3.18
Sc 0.5000 0.5000 0.1843 x2  12 Mg 3.17-3.23
Cd 0.5000 0.5000 0.5000 x1  8 Mg 2.86

Results
Energy of formation in eV per atom: -0.020
Crystal system: tetragonal

***

Li2SiB2Pd5 after structural relaxation. Source: Alexandria, functional PBE.

Cell lengths 9.3135, 9.3135, 3.0020 Å; angles 90.00, 90.00, 90.00 degrees
Last column: nearest neighbours and their distance in Å.
Space group P4/mbm (No. 127)
Symmetry-distinct sites (fractional):
Li 0.1744 0.3256 0.0000 x4  3 B 2.63-2.84, 6 Pd 2.74-2.81
Si 0.0000 0.0000 0.0000 x2  8 Pd 2.57
B 0.1262 0.6262 0.0000 x4  6 Pd 2.19-2.24
Pd 0.0000 0.5000 0.5000 x2  4 B 2.24
Pd 0.0732 0.7885 0.5000 x8  2 B 2.19

Results
Electronic total energy in eV/cell: -106.02
Crystal system: tetragonal

***

YThOsI after structural relaxation. Source: Alexandria, functional PBE.

Cell lengths 4.1761, 4.1761, 24.2275 Å; angles 90.00, 90.00, 120.00 degrees
Last column: nearest neighbours and their distance in Å.
Space group R3m (No. 160, hexagonal axes)
Symmetry-distinct sites (fractional):
Y 0.0000 0.0000 0.0000 x3  3 Os 2.84
Th 0.0000 0.0000 0.2153 x3  3 Os 2.77
Os 0.0000 0.0000 0.6051 x3  3 Th 2.77, 3 Y 2.84
I 0.0000 0.0000 0.7706 x3  3 Y 3.49, 3 Th 3.62

Results
Electronic total energy in eV/cell: -87.44
Crystal system: trigonal

***

Li2Mg2UO6 after structural relaxation. Source: Alexandria, functional PBE.

Cell lengths 5.4724, 9.4662, 5.2746 Å; angles 90.00, 109.12, 90.00 degrees
Last column: nearest neighbours and their distance in Å.
Space group C2/m (No. 12)
Symmetry-distinct sites (fractional):
Li 0.0000 0.2102 0.0000 x4  4 O 2.05-2.22
Mg 0.0000 0.3349 0.5000 x4  6 O 2.08-2.20
U 0.0000 0.0000 0.5000 x2  6 O 2.03-2.14
O 0.2235 0.1718 0.7239 x8  2 Li 2.05-2.22, 2 Mg 2.08-2.20, 1 U 2.14
O 0.2436 0.5000 0.7034 x4  1 U 2.03, 2 Mg 2.11

Results
Electronic total energy in eV/cell: -154.30
Crystal system: monoclinic

***

no.,calculated density (g/cm3),total moment (μB/cell)
1,3.1,4.15
2,18.0,0.00
3,3.4,0.00
4,14.1,0.00
5,2.5,0.00
6,7.6,0.00
7,8.7,0.00
8,5.1,0.00